First-principles (PBE) data for a relaxed AlCo2PSe crystal, as listed in the Alexandria database.

The structure in POSCAR format:
```
AlCo2PSe
1.0
4.410 0.000 0.000
0.000 4.410 0.000
0.000 0.000 4.714
Al Co P Se
1 2 1 1
direct
0.000 0.000 0.000
0.000 0.500 0.000
0.500 0.000 0.000
0.500 0.500 0.500
0.000 0.000 0.500
```

Values from the calculation:
**DOS(E_F)**: 1.150 states/eV/atom
**Total energy**: -4.158 eV/atom
**SG**: P4/mmm
**Energy relative to the elements, uncorrected**: 1.21 eV per atom